[1]
A relaxed structure of Na6Tl3Ge, computed with GGA-PBE. Values from VASP.

Quantum ESPRESSO input file:
```
&SYSTEM
  ibrav = 0, nat = 20, ntyp = 3
/
ATOMIC_SPECIES
Na 22.99 Na.upf
Tl 204.38 Tl.upf
Ge 72.64 Ge.upf
CELL_PARAMETERS angstrom
9.187 0.000 0.000
0.000 5.381 0.000
-3.655 0.000 11.289
ATOMIC_POSITIONS crystal
Na 0.025 0.250 0.420
Na 0.034 0.750 0.886
Na 0.230 0.250 0.003
Na 0.302 0.750 0.457
Na 0.352 0.250 0.294
Na 0.449 0.750 0.097
Na 0.551 0.250 0.903
Na 0.648 0.750 0.706
Na 0.698 0.250 0.543
Na 0.770 0.750 0.997
Na 0.966 0.250 0.114
Na 0.975 0.750 0.580
Tl 0.082 0.250 0.718
Tl 0.337 0.750 0.792
Tl 0.375 0.250 0.626
Tl 0.625 0.750 0.374
Tl 0.663 0.250 0.208
Tl 0.918 0.750 0.282
Ge 0.159 0.750 0.176
Ge 0.841 0.250 0.824
```

Properties
The calculation puts the density of states at the Fermi level at 7.80 states/eV/cell. As for the crystal system: monoclinic. The space group is P2_1/m (11). For the raw total energy, the calculation gives -2.03 eV/atom. The total moment is 0.00 μB/f.u.



[2]
A relaxed structure of Na2TlGe2, computed with GGA-PBE. Values from VASP.

Quantum ESPRESSO input file:
```
&SYSTEM
  ibrav = 0, nat = 10, ntyp = 3
/
ATOMIC_SPECIES
Na 22.99 Na.upf
Tl 204.38 Tl.upf
Ge 72.64 Ge.upf
CELL_PARAMETERS angstrom
5.463 -2.944 0.000
5.463 2.944 0.000
-2.252 0.000 8.141
ATOMIC_POSITIONS crystal
Na 0.004 0.704 0.857
Na 0.296 0.996 0.643
Na 0.704 0.004 0.357
Na 0.996 0.296 0.143
Tl 0.331 0.669 0.250
Tl 0.669 0.331 0.750
Ge 0.191 0.508 0.508
Ge 0.492 0.809 0.992
Ge 0.508 0.191 0.008
Ge 0.809 0.492 0.492
```

Properties
The calculation puts the density of states at the Fermi level at 3.89 states/eV/cell. As for the crystal system: monoclinic. The space group is C2/c (15). For the raw total energy, the calculation gives -2.87 eV/atom. The calculation puts the polymorph energy (0 for the lowest one) at 2 meV/atom. The total moment is 0.00 μB/f.u.



[3]
A relaxed structure of Na2TlGe2, computed with GGA-PBE. Values from VASP.

Quantum ESPRESSO input file:
```
&SYSTEM
  ibrav = 0, nat = 10, ntyp = 3
/
ATOMIC_SPECIES
Na 22.99 Na.upf
Tl 204.38 Tl.upf
Ge 72.64 Ge.upf
CELL_PARAMETERS angstrom
7.516 0.000 0.000
0.000 7.516 0.000
0.000 0.000 4.606
ATOMIC_POSITIONS crystal
Na 0.178 0.322 0.000
Na 0.322 0.822 0.000
Na 0.678 0.178 0.000
Na 0.822 0.678 0.000
Tl 0.000 0.000 0.500
Tl 0.500 0.500 0.500
Ge 0.114 0.614 0.500
Ge 0.386 0.114 0.500
Ge 0.614 0.886 0.500
Ge 0.886 0.386 0.500
```

Properties
The calculation puts the density of states at the Fermi level at 3.20 states/eV/cell. As for the crystal system: tetragonal. The space group is P4/mbm (127). For the raw total energy, the calculation gives -2.87 eV/atom. The calculation puts the polymorph energy (0 for the lowest one) at 0 meV/atom. The total moment is 0.00 μB/f.u.



[4]
A relaxed structure of Na2TlGe2, computed with GGA-PBE. Values from VASP.

Quantum ESPRESSO input file:
```
&SYSTEM
  ibrav = 0, nat = 10, ntyp = 3
/
ATOMIC_SPECIES
Na 22.99 Na.upf
Tl 204.38 Tl.upf
Ge 72.64 Ge.upf
CELL_PARAMETERS angstrom
4.567 0.000 0.000
0.000 4.567 0.000
0.000 0.000 12.699
ATOMIC_POSITIONS crystal
Na 0.000 0.500 0.250
Na 0.000 0.500 0.750
Na 0.500 0.000 0.250
Na 0.500 0.000 0.750
Tl 0.000 0.000 0.000
Tl 0.500 0.500 0.500
Ge 0.000 0.000 0.408
Ge 0.000 0.000 0.592
Ge 0.500 0.500 0.092
Ge 0.500 0.500 0.908
```

Properties
The calculation puts the density of states at the Fermi level at 4.24 states/eV/cell. As for the crystal system: tetragonal. The space group is I4/mmm (139). For the raw total energy, the calculation gives -2.75 eV/atom. The calculation puts the polymorph energy (0 for the lowest one) at 117 meV/atom. The total moment is 0.00 μB/f.u.